1.
## Ba6HgPtAu (PBE)

Data for a geometry-optimized Ba6HgPtAu structure.

Results
Crystal system: trigonal
N(E_F) (states/eV/f.u.): 5.124
E_form (eV/atom): -0.5033
Uncorrected energy (eV per cell): -51.4
Magnetization (μB/cell): 0.00

a = 8.2260 Å, b = 8.2260 Å, c = 15.2838 Å
α = 90.00°, β = 90.00°, γ = 120.00°
Last column: nearest neighbours and their distance in Å.
Fractional coordinates of all 18 atoms:
Ba 0.0122 0.3548 0.1317  1 Pt 3.17, 1 Au 3.30, 1 Hg 3.51
Ba 0.0122 0.6575 0.3683  1 Pt 3.17, 1 Au 3.30, 1 Hg 3.51
Ba 0.3425 0.3548 0.3683  1 Pt 3.17, 1 Au 3.30, 1 Hg 3.51
Ba 0.3425 0.9878 0.1317  1 Pt 3.17, 1 Au 3.30, 1 Hg 3.51
Ba 0.3548 0.0122 0.6317  1 Pt 3.17, 1 Au 3.30, 1 Hg 3.51
Ba 0.3548 0.3425 0.8683  1 Pt 3.17, 1 Au 3.30, 1 Hg 3.51
Ba 0.6452 0.6575 0.1317  1 Pt 3.17, 1 Au 3.30, 1 Hg 3.51
Ba 0.6452 0.9878 0.3683  1 Pt 3.17, 1 Au 3.30, 1 Hg 3.51
Ba 0.6575 0.0122 0.8683  1 Pt 3.17, 1 Au 3.30, 1 Hg 3.51
Ba 0.6575 0.6452 0.6317  1 Pt 3.17, 1 Au 3.30, 1 Hg 3.51
Ba 0.9878 0.3425 0.6317  1 Pt 3.17, 1 Au 3.30, 1 Hg 3.51
Ba 0.9878 0.6452 0.8683  1 Pt 3.17, 1 Au 3.30, 1 Hg 3.51
Hg 0.0000 0.0000 0.0000  6 Ba 3.51
Hg 0.0000 0.0000 0.5000  6 Ba 3.51
Pt 0.3333 0.6667 0.2500  6 Ba 3.17
Pt 0.6667 0.3333 0.7500  6 Ba 3.17
Au 0.3333 0.6667 0.7500  6 Ba 3.30
Au 0.6667 0.3333 0.2500  6 Ba 3.30

***

2.
## NdEr2Si6 (PBE)

Data for a geometry-optimized NdEr2Si6 structure.

Results
Crystal system: hexagonal
N(E_F) (states/eV/f.u.): 4.719
Uncorrected formation energy (eV per atom): -0.52
Uncorrected energy (eV per cell): -51.1
Magnetization (μB/cell): 0.00

a = 7.1167 Å, b = 7.1167 Å, c = 3.9696 Å
α = 90.00°, β = 90.00°, γ = 120.00°
Last column: nearest neighbours and their distance in Å.
Fractional coordinates of all 9 atoms:
Nd 0.0000 0.0000 0.0000  12 Si 3.11
Er 0.3333 0.6667 0.0000  12 Si 3.08
Er 0.6667 0.3333 0.0000  12 Si 3.08
Si 0.0000 0.3365 0.5000  3 Si 2.33-2.39
Si 0.0000 0.6635 0.5000  3 Si 2.33-2.39
Si 0.3365 0.0000 0.5000  3 Si 2.33-2.39
Si 0.3365 0.3365 0.5000  3 Si 2.33-2.39
Si 0.6635 0.0000 0.5000  3 Si 2.33-2.39
Si 0.6635 0.6635 0.5000  3 Si 2.33-2.39

***

3.
## RbTl12Sb5 (PBE)

Data for a geometry-optimized RbTl12Sb5 structure.

Results
Crystal system: orthorhombic
N(E_F) (states/eV/f.u.): 5.609
Uncorrected formation energy (eV per atom): 0.00
Uncorrected energy (eV per cell): -50.0
Magnetization (μB/cell): 0.00

a = 9.3198 Å, b = 9.3198 Å, c = 9.3198 Å
α = 110.77°, β = 109.23°, γ = 108.41°
Last column: nearest neighbours and their distance in Å.
Fractional coordinates of all 18 atoms:
Rb 0.0000 0.0000 0.0000  8 Tl 3.57-3.61
Tl 0.0471 0.2572 0.7899  3 Sb 3.14-3.49
Tl 0.1889 0.4638 0.2749  1 Sb 3.09
Tl 0.1889 0.9140 0.7251  1 Sb 3.09
Tl 0.3159 0.2371 0.5530  4 Sb 3.41-3.51
Tl 0.3159 0.7629 0.0787  4 Sb 3.41-3.51
Tl 0.4672 0.2572 0.2101  3 Sb 3.14-3.49
Tl 0.5328 0.7428 0.7899  3 Sb 3.14-3.49
Tl 0.6841 0.2371 0.9213  4 Sb 3.41-3.51
Tl 0.6841 0.7629 0.4470  4 Sb 3.41-3.51
Tl 0.8111 0.0860 0.2749  1 Sb 3.09
Tl 0.8111 0.5362 0.7251  1 Sb 3.09
Tl 0.9529 0.7428 0.2101  3 Sb 3.14-3.49
Sb 0.1339 0.5000 0.6339  1 Sb 2.89, 2 Tl 3.14
Sb 0.3693 0.8693 0.5000  1 Sb 2.85, 2 Tl 3.09
Sb 0.5000 0.5000 0.0000  8 Tl 3.42-3.49
Sb 0.6307 0.1307 0.5000  1 Sb 2.85, 2 Tl 3.09
Sb 0.8661 0.5000 0.3661  1 Sb 2.89, 2 Tl 3.14

***

4.
## AcNd2IO8 (PBE)

Data for a geometry-optimized AcNd2IO8 structure.

Results
Crystal system: orthorhombic
Uncorrected formation energy (eV per atom): -2.23
Uncorrected energy (eV per cell): -81.7
Magnetization (μB/cell): 0.00

a = 5.2221 Å, b = 5.2221 Å, c = 7.2655 Å
α = 90.00°, β = 90.00°, γ = 90.65°
Last column: nearest neighbours and their distance in Å.
Fractional coordinates of all 12 atoms:
Ac 0.0000 0.0000 0.0000  6 O 2.37-2.60
Nd 0.5000 0.5000 0.2540  6 O 2.28-2.54
Nd 0.5000 0.5000 0.7460  6 O 2.28-2.54
I 0.0000 0.0000 0.5000  6 O 1.90-1.92
O 0.1796 0.1796 0.3076  1 I 1.92
O 0.1796 0.1796 0.6924  1 I 1.92
O 0.2563 0.7437 0.5000  1 I 1.90
O 0.3192 0.6808 0.0000  2 Nd 2.28, 1 Ac 2.37
O 0.6808 0.3192 0.0000  2 Nd 2.28, 1 Ac 2.37
O 0.7437 0.2563 0.5000  1 I 1.90
O 0.8204 0.8204 0.3076  1 I 1.92
O 0.8204 0.8204 0.6924  1 I 1.92

***

5.
## NaSmPb (PBE)

Data for a geometry-optimized NaSmPb structure.

Results
Crystal system: tetragonal
N(E_F) (states/eV/f.u.): 1.895
E_form (eV/atom): -0.1367
Uncorrected energy (eV per cell): -20.3
Magnetization (μB/cell): 0.00

a = 3.5386 Å, b = 3.5386 Å, c = 15.0820 Å
α = 90.00°, β = 90.00°, γ = 90.00°
Last column: nearest neighbours and their distance in Å.
Fractional coordinates of all 6 atoms:
Na 0.0000 0.0000 0.0000  4 Pb 3.40, 4 Na 3.54
Na 0.5000 0.5000 0.5000  4 Pb 3.40, 4 Na 3.54
Sm 0.0000 0.0000 0.2996  4 Pb 3.34, 4 Sm 3.54
Sm 0.5000 0.5000 0.7996  4 Pb 3.34, 4 Sm 3.54
Pb 0.0000 0.0000 0.6525  4 Sm 3.34, 4 Na 3.40, 4 Pb 3.54
Pb 0.5000 0.5000 0.1525  4 Sm 3.34, 4 Na 3.40, 4 Pb 3.54

***

6.
## Ba4AlPb (PBE)

Data for a geometry-optimized Ba4AlPb structure.

Results
Crystal system: cubic
N(E_F) (states/eV/f.u.): 9.187
E_form (eV/atom): 0.3717
Uncorrected energy (eV per cell): -12.9
Magnetization (μB/cell): 0.01

a = 7.2008 Å, b = 7.2008 Å, c = 7.2008 Å
α = 60.00°, β = 60.00°, γ = 60.00°
Last column: nearest neighbours and their distance in Å.
Fractional coordinates of all 6 atoms:
Ba 0.1247 0.1247 0.1247  6 Ba 3.59-3.61
Ba 0.1247 0.1247 0.6259  6 Ba 3.59-3.61
Ba 0.1247 0.6259 0.1247  6 Ba 3.59-3.61
Ba 0.6259 0.1247 0.1247  6 Ba 3.59-3.61
Al 0.5000 0.5000 0.5000  12 Ba 4.22, 4 Pb 4.41
Pb 0.7500 0.7500 0.7500  12 Ba 4.22, 4 Al 4.41

***

7.
## AcDyCdRh (PBE)

Data for a geometry-optimized AcDyCdRh structure.

Results
Crystal system: cubic
N(E_F) (states/eV/f.u.): 2.360
E_form (eV/atom): -0.3797
Uncorrected energy (eV per cell): -74.0
Magnetization (μB/cell): 0.00

a = 7.4851 Å, b = 7.4851 Å, c = 7.4851 Å
α = 90.00°, β = 90.00°, γ = 90.00°
Last column: nearest neighbours and their distance in Å.
Fractional coordinates of all 16 atoms:
Ac 0.0000 0.0000 0.0000  4 Rh 3.24, 4 Cd 3.24
Ac 0.0000 0.5000 0.5000  4 Rh 3.24, 4 Cd 3.24
Ac 0.5000 0.0000 0.5000  4 Rh 3.24, 4 Cd 3.24
Ac 0.5000 0.5000 0.0000  4 Rh 3.24, 4 Cd 3.24
Dy 0.0000 0.0000 0.5000  4 Cd 3.24, 4 Rh 3.24
Dy 0.0000 0.5000 0.0000  4 Cd 3.24, 4 Rh 3.24
Dy 0.5000 0.0000 0.0000  4 Cd 3.24, 4 Rh 3.24
Dy 0.5000 0.5000 0.5000  4 Cd 3.24, 4 Rh 3.24
Cd 0.2500 0.2500 0.2500  4 Ac 3.24, 4 Dy 3.24
Cd 0.2500 0.7500 0.7500  4 Ac 3.24, 4 Dy 3.24
Cd 0.7500 0.2500 0.7500  4 Ac 3.24, 4 Dy 3.24
Cd 0.7500 0.7500 0.2500  4 Ac 3.24, 4 Dy 3.24
Rh 0.2500 0.2500 0.7500  4 Dy 3.24, 4 Ac 3.24
Rh 0.2500 0.7500 0.2500  4 Dy 3.24, 4 Ac 3.24
Rh 0.7500 0.2500 0.2500  4 Dy 3.24, 4 Ac 3.24
Rh 0.7500 0.7500 0.7500  4 Dy 3.24, 4 Ac 3.24

***

8.
## ScInCl2 (PBE)

Data for a geometry-optimized ScInCl2 structure.

Results
ΔE to the lowest computed polymorph (eV/atom): 0.388
Crystal system: trigonal
N(E_F) (states/eV/f.u.): 1.794
Uncorrected formation energy (eV per atom): -0.88
Uncorrected energy (eV per cell): -48.9
Magnetization (μB/cell): 0.00

a = 3.6196 Å, b = 3.6196 Å, c = 29.7290 Å
α = 90.00°, β = 90.00°, γ = 120.00°
Last column: nearest neighbours and their distance in Å.
Fractional coordinates of all 12 atoms:
Sc 0.0000 0.0000 0.0000  2 Cl 2.37
Sc 0.3333 0.6667 0.6667  2 Cl 2.37
Sc 0.6667 0.3333 0.3333  2 Cl 2.37
In 0.0000 0.0000 0.5000  6 Cl 3.33, 6 In 3.62
In 0.3333 0.6667 0.1667  6 Cl 3.33, 6 In 3.62
In 0.6667 0.3333 0.8333  6 Cl 3.33, 6 In 3.62
Cl 0.0000 0.0000 0.0796  1 Sc 2.37
Cl 0.0000 0.0000 0.9204  1 Sc 2.37
Cl 0.3333 0.6667 0.5871  1 Sc 2.37
Cl 0.3333 0.6667 0.7462  1 Sc 2.37
Cl 0.6667 0.3333 0.2538  1 Sc 2.37
Cl 0.6667 0.3333 0.4129  1 Sc 2.37

***

9.
## CsSm4Te6 (PBE)

Data for a geometry-optimized CsSm4Te6 structure.

Results
ΔE to the lowest computed polymorph (eV/atom): 0.209
Crystal system: tetragonal
N(E_F) (states/eV/f.u.): 3.475
Uncorrected formation energy (eV per atom): -1.17
Uncorrected energy (eV per cell): -51.4
Magnetization (μB/cell): 0.00

a = 8.2403 Å, b = 8.2403 Å, c = 8.2403 Å
α = 116.86°, β = 116.86°, γ = 95.52°
Last column: nearest neighbours and their distance in Å.
Fractional coordinates of all 11 atoms:
Cs 0.0000 0.0000 0.0000  8 Te 3.94-4.31, 4 Sm 3.96
Sm 0.2141 0.5897 0.0000  6 Te 3.05-3.33
Sm 0.4103 0.4103 0.6244  6 Te 3.05-3.33
Sm 0.5897 0.2141 0.0000  6 Te 3.05-3.33
Sm 0.7859 0.7859 0.3756  6 Te 3.05-3.33
Te 0.0000 0.5000 0.5000  4 Sm 3.33
Te 0.1574 0.1574 0.6902  4 Sm 3.05-3.19
Te 0.4672 0.4672 0.3098  4 Sm 3.05-3.19
Te 0.5000 0.0000 0.5000  4 Sm 3.33
Te 0.5328 0.8426 0.0000  4 Sm 3.05-3.19
Te 0.8426 0.5328 0.0000  4 Sm 3.05-3.19

***

10.
## Tb2Er3Tm4 (PBE)

Data for a geometry-optimized Tb2Er3Tm4 structure.

Results
Crystal system: monoclinic
N(E_F) (states/eV/f.u.): 13.317
E_form (eV/atom): 0.1036
Uncorrected energy (eV per cell): -79.8
Magnetization (μB/cell): 0.00

a = 10.0310 Å, b = 10.0310 Å, c = 5.8709 Å
α = 95.90°, β = 95.90°, γ = 69.50°
Last column: nearest neighbours and their distance in Å.
Fractional coordinates of all 18 atoms:
Tb 0.0051 0.7864 0.7183  3 Tm 3.25-3.56, 4 Er 3.33-3.46, 1 Tb 3.41
Tb 0.2136 0.9949 0.7817  3 Tm 3.25-3.56, 4 Er 3.33-3.46, 1 Tb 3.41
Tb 0.7864 0.0051 0.2183  3 Tm 3.25-3.56, 4 Er 3.33-3.46, 1 Tb 3.41
Tb 0.9949 0.2136 0.2817  3 Tm 3.25-3.56, 4 Er 3.33-3.46, 1 Tb 3.41
Er 0.1537 0.8463 0.2500  2 Tm 3.34, 6 Tb 3.41-3.46, 2 Er 3.73
Er 0.1817 0.4876 0.4153  1 Tb 3.33, 7 Tm 3.34-3.44, 1 Er 3.73
Er 0.4876 0.1817 0.9153  1 Tb 3.33, 7 Tm 3.34-3.44, 1 Er 3.73
Er 0.5124 0.8183 0.0847  1 Tb 3.33, 7 Tm 3.34-3.44, 1 Er 3.73
Er 0.8183 0.5124 0.5847  1 Tb 3.33, 7 Tm 3.34-3.44, 1 Er 3.73
Er 0.8463 0.1537 0.7500  2 Tm 3.34, 6 Tb 3.41-3.46, 2 Er 3.73
Tm 0.1242 0.3394 0.8771  2 Tb 3.25-3.36, 4 Er 3.34-3.43, 2 Tm 3.36-3.58
Tm 0.3306 0.5443 0.9537  3 Tm 3.20-3.36, 4 Er 3.34-3.44, 1 Tb 3.56
Tm 0.3394 0.1242 0.3771  2 Tb 3.25-3.36, 4 Er 3.34-3.43, 2 Tm 3.36-3.58
Tm 0.4557 0.6694 0.5463  3 Tm 3.20-3.36, 4 Er 3.34-3.44, 1 Tb 3.56
Tm 0.5443 0.3306 0.4537  3 Tm 3.20-3.36, 4 Er 3.34-3.44, 1 Tb 3.56
Tm 0.6606 0.8758 0.6229  2 Tb 3.25-3.36, 4 Er 3.34-3.43, 2 Tm 3.36-3.58
Tm 0.6694 0.4557 0.0463  3 Tm 3.20-3.36, 4 Er 3.34-3.44, 1 Tb 3.56
Tm 0.8758 0.6606 0.1229  2 Tb 3.25-3.36, 4 Er 3.34-3.43, 2 Tm 3.36-3.58

***

11.
## FeAs2W (PBE)

Data for a geometry-optimized FeAs2W structure.

Results
ΔE to the lowest computed polymorph (eV/atom): 0.000
Crystal system: tetragonal
N(E_F) (states/eV/f.u.): 1.751
E_form (eV/atom): 0.0728
Uncorrected energy (eV per cell): -30.4
Magnetization (μB/cell): 0.10

a = 2.7975 Å, b = 2.7975 Å, c = 8.8779 Å
α = 90.00°, β = 90.00°, γ = 90.00°
Last column: nearest neighbours and their distance in Å.
Fractional coordinates of all 4 atoms:
Fe 0.0000 0.0000 0.0000  4 As 2.50, 4 W 2.62, 4 Fe 2.80
As 0.0000 0.0000 0.4176  4 As 2.80, 4 W 2.81
As 0.5000 0.5000 0.8276  4 Fe 2.50, 4 As 2.80
W 0.5000 0.5000 0.1933  4 Fe 2.62, 4 W 2.80, 4 As 2.81